Record 1
First-principles (SCAN) data for P2PbS2 at its PBEsol-relaxed geometry, as listed in the Alexandria database.

Geometry as POSCAR:
```
P2PbS2
1.0
4.9900 0.0000 0.0000
0.0000 4.9900 0.0000
0.0000 0.0000 5.1847
P Pb S
2 1 2
direct
0.0000 0.0000 0.0000
0.5000 0.5000 0.0000
0.0000 0.0000 0.5000
0.0000 0.5000 0.5000
0.5000 0.0000 0.5000
```

Values from the calculation:
SG = P4/mmm (123)
E = -108.63 eV per cell
Mass density = 4.29 g cm⁻³

=====

Record 2
First-principles (SCAN) data for Cr2NiIr at its PBEsol-relaxed geometry, as listed in the Alexandria database.

Geometry as POSCAR:
```
Cr2NiIr
1.0
3.5632 0.0000 0.0000
0.0000 3.5632 0.0000
0.0000 0.0000 3.6830
Cr Ni Ir
2 1 1
direct
0.0000 0.5000 0.0000
0.5000 0.0000 0.0000
0.0000 0.0000 0.5000
0.5000 0.5000 0.5000
```

Values from the calculation:
SG = P4/mmm (123)
E_form = -0.148 eV per atom
E = -124.63 eV per cell
Mass density = 12.60 g cm⁻³

=====

Record 3
First-principles (SCAN) data for K2SrTa at its PBEsol-relaxed geometry, as listed in the Alexandria database.

Geometry as POSCAR:
```
K2SrTa
1.0
0.0000 4.3249 4.3249
4.3249 0.0000 4.3249
4.3249 4.3249 0.0000
K Sr Ta
2 1 1
direct
0.2500 0.2500 0.2500
0.7500 0.7500 0.7500
0.0000 0.0000 0.0000
0.5000 0.5000 0.5000
```

Values from the calculation:
SG = Fm-3m (225)
E_form = 1.430 eV per atom
E = -99.79 eV per cell
Mass density = 3.56 g cm⁻³

=====

Record 4
First-principles (SCAN) data for TaP3Pb at its PBEsol-relaxed geometry, as listed in the Alexandria database.

Geometry as POSCAR:
```
TaP3Pb
1.0
4.8118 0.0000 0.0000
0.0000 4.8118 0.0000
0.0000 0.0000 4.8118
Ta P Pb
1 3 1
direct
0.0000 0.0000 0.0000
0.0000 0.0000 0.5000
0.0000 0.5000 0.0000
0.5000 0.0000 0.0000
0.5000 0.5000 0.5000
```

Values from the calculation:
SG = Pm-3m (221)
E_form = 0.228 eV per atom
E = -172.42 eV per cell
Mass density = 7.17 g cm⁻³

=====

Record 5
First-principles (SCAN) data for Cr2SiAg at its PBEsol-relaxed geometry, as listed in the Alexandria database.

Geometry as POSCAR:
```
Cr2SiAg
1.0
1.3120 0.7575 8.6112
-1.3120 0.7575 8.6112
0.0000 -1.5150 8.6112
Cr Si Ag
2 1 1
direct
0.2433 0.2433 0.2433
0.7567 0.7567 0.7567
0.5000 0.5000 0.5000
0.0000 0.0000 0.0000
```

Values from the calculation:
SG = R-3m (166)
E = -76.53 eV per cell
Mass density = 7.76 g cm⁻³

=====

Record 6
First-principles (SCAN) data for NaBe2P2 at its PBEsol-relaxed geometry, as listed in the Alexandria database.

Geometry as POSCAR:
```
NaBe2P2
1.0
-1.6872 1.6872 6.7613
1.6872 -1.6872 6.7613
1.6872 1.6872 -6.7613
Na Be P
1 2 2
direct
0.0000 0.0000 0.0000
0.2500 0.7500 0.5000
0.7500 0.2500 0.5000
0.3530 0.3530 0.0000
0.6470 0.6470 0.0000
```

Values from the calculation:
SG = I4/mmm (139)
E_form = -0.399 eV per atom
E = -35.71 eV per cell
Mass density = 2.22 g cm⁻³